No. 1
# RbBrO

A relaxed RbBrO crystal (GGA-PBE, Alexandria via LeMat-Bulk).

```
RbBrO
1.0
5.9924 0.0000 0.0000
2.9953 5.2292 0.0000
0.0001 0.0650 6.9548
Rb Br O
2 2 2
Direct
0.0000 0.0000 0.0000
0.3321 0.3346 0.5027
0.0005 0.9977 0.4964
0.3316 0.3369 0.0064
0.6156 0.7667 0.7022
0.7164 0.5690 0.8017
```

Space group: P1
Calculated volume, Å³/cell: 217.93

No. 2
# TbHo2Fe

A relaxed TbHo2Fe crystal (GGA-PBE, Alexandria via LeMat-Bulk).

```
TbHo2Fe
1.0
3.3370 0.0000 0.0000
0.0000 3.3370 0.0000
0.0000 0.0000 8.9841
Tb Ho Fe
1 2 1
Direct
0.0000 0.0000 0.0000
0.5000 0.5000 0.3215
0.5000 0.5000 0.6785
0.0000 0.0000 0.5000
```

Offset from the most stable computed form, eV/atom: 0.091
Formation energy, meV/atom: 76
Space group: P4/mmm
Calculated volume, Å³/cell: 100.04

No. 3
# Na4CeEr3Te8

A relaxed Na4CeEr3Te8 crystal (GGA-PBE, Alexandria via LeMat-Bulk).

```
Na4CeEr3Te8
1.0
4.4421 2.5647 7.5531
-4.4421 2.5647 7.5531
0.0000 -5.1293 7.5531
Na Ce Er Te
4 1 3 8
Direct
0.0000 0.0000 0.0000
0.0000 0.5000 0.5000
0.5000 0.0000 0.5000
0.5000 0.5000 0.0000
0.5000 0.5000 0.5000
0.0000 0.0000 0.5000
0.0000 0.5000 0.0000
0.5000 0.0000 0.0000
0.2355 0.7491 0.7491
0.2430 0.2430 0.2430
0.2509 0.2509 0.7645
0.2509 0.7645 0.2509
0.7491 0.2355 0.7491
0.7491 0.7491 0.2355
0.7570 0.7570 0.7570
0.7645 0.2509 0.2509
```

Space group: R-3m
Calculated volume, Å³/cell: 516.30

No. 4
# BaPS2N

A relaxed BaPS2N crystal (GGA-PBE, Alexandria via LeMat-Bulk).

```
BaPS2N
1.0
5.0682 0.0000 0.0000
0.0000 5.0682 0.0000
0.0000 0.0000 3.5902
Ba P S N
1 1 2 1
Direct
0.0000 0.0000 0.0000
0.5000 0.5000 0.5000
0.0000 0.5000 0.5000
0.5000 0.0000 0.5000
0.5000 0.5000 0.0000
```

Offset from the most stable computed form, eV/atom: 0.000
Space group: P4/mmm
Calculated volume, Å³/cell: 92.22

The evaluated total energy for the records listed, in turn: -21.94 -21.94 -70.60 -25.18 eV per cell.
The evaluated calculated density for the records listed, in turn: 2.8 9.0 5.6 4.4 g cm⁻³.